DFT (PBE) results for crystalline BaMnRh3 at its relaxed geometry.

Computed properties:
E_form	351	meV/atom
total magnetic moment	0.00	μB/atom
ΔE to the lowest computed polymorph	0	meV/atom
V	100.0	Å³ per cell

CIF file:
```
data_BaMnRh3
_space_group_name_H-M_alt 'P m -3 m'
_space_group_IT_number 221
_space_group_name_Hall '-P 4 2 3'
_cell_length_a 4.6408
_cell_length_b 4.6408
_cell_length_c 4.6408
_cell_angle_alpha 90.00
_cell_angle_beta 90.00
_cell_angle_gamma 90.00
loop_
_atom_site_label
_atom_site_fract_x
_atom_site_fract_y
_atom_site_fract_z
Ba1 0.0000 0.0000 0.0000
Mn1 0.5000 0.5000 0.5000
Rh1 0.0000 0.5000 0.5000
```

=====

DFT (PBE) results for crystalline Ag8Sn2Hg at its relaxed geometry.

Computed properties:
E_form	34	meV/atom
total magnetic moment	0.00	μB/atom
V	430.9	Å³ per cell

CIF file:
```
data_Ag8Sn2Hg
_space_group_name_H-M_alt 'C 1 2/m 1'
_space_group_IT_number 12
_space_group_name_Hall '-C 2y'
_cell_length_a 15.8891
_cell_length_b 4.0544
_cell_length_c 6.9233
_cell_angle_alpha 90.00
_cell_angle_beta 104.95
_cell_angle_gamma 90.00
loop_
_atom_site_label
_atom_site_fract_x
_atom_site_fract_y
_atom_site_fract_z
Ag1 0.0438 0.0000 0.2254
Ag2 0.0866 0.5000 0.9544
Ag3 0.1348 0.0000 0.6870
Ag4 0.1787 0.5000 0.4195
Sn1 0.2220 0.0000 0.1508
Hg1 0.0000 0.5000 0.5000
```

=====

The highest V belongs to which entry?
Ag8Sn2Hg

=====

What is the E_form in the second record?
34 meV/atom